# 1
Computed, not measured: a geometry-optimized Dy5MgTl6 structure at the PBE level of DFT.

Cell: 9.2997 16.0023 5.2521 Å, 90.00 124.31 90.00°
Space group C2/m (No. 12)
Asymmetric unit:
Dy1 0.0000 0.0000 0.0000
Dy2 0.0000 0.1703 0.5000
Dy3 0.0000 0.3432 0.0000
Mg1 0.0000 0.5000 0.5000
Tl1 0.2474 0.0000 0.7476
Tl2 0.2503 0.1652 0.2497

- energy relative to the elements (meV per atom) = -299



# 2
Computed, not measured: a geometry-optimized AlRh2Au structure at the PBE level of DFT.

Cell: 2.9594 2.9594 6.8117 Å, 90.00 90.00 90.00°
Space group P4/mmm (No. 123)
Asymmetric unit:
Al1 0.0000 0.0000 0.0000
Rh1 0.5000 0.5000 0.2146
Au1 0.0000 0.0000 0.5000

- energy relative to the elements (meV per atom) = -466



# 3
Computed, not measured: a geometry-optimized MnSeIN2 structure at the PBE level of DFT.

Cell: 3.9133 3.9133 7.0767 Å, 90.00 90.00 90.00°
Space group P4/mmm (No. 123)
Asymmetric unit:
Mn1 0.0000 0.0000 0.0000
Se1 0.5000 0.5000 0.0000
I1 0.5000 0.5000 0.5000
N1 0.0000 0.5000 0.5000

- raw formation energy (meV per atom) = 1668



# 4
Computed, not measured: a geometry-optimized LaGa3Cu2 structure at the PBE level of DFT.

Cell: 10.3942 8.1485 5.1174 Å, 90.00 90.00 90.00°
Space group Cmcm (No. 63)
Asymmetric unit:
La1 0.0000 0.1707 0.2500
Ga1 0.0000 0.4336 0.7500
Ga2 0.1872 0.2201 0.7500
Cu1 0.2090 0.5000 0.0000

- energy relative to the elements (meV per atom) = -394



# 5
Computed, not measured: a geometry-optimized LiPdPb2 structure at the PBE level of DFT.

Cell: 3.5837 3.6547 15.1076 Å, 90.00 90.00 90.00°
Space group Immm (No. 71)
Asymmetric unit:
Li1 0.0000 0.0000 0.0000
Pd1 0.0000 0.0000 0.5000
Pb1 0.0000 0.0000 0.3224

- energy relative to the elements (meV per atom) = -105



# 6
Computed, not measured: a geometry-optimized IrO3 structure at the PBE level of DFT.

Cell: 3.8044 3.8044 3.8044 Å, 90.00 90.00 90.00°
Space group Pm-3m (No. 221)
Asymmetric unit:
Ir1 0.0000 0.0000 0.0000
O1 0.0000 0.0000 0.5000

- raw formation energy (meV per atom) = -316